1.
The following is a DFT calculation (meta-GGA SCAN) of a PBEsol-optimized structure of CaScRh2.

```
4
Lattice="-1.0509 -3.3538 2.9599 0.0082 -4.3789 -1.3922 3.2699 -2.8728 1.4724" Properties=species:S:1:pos:R:3 pbc="T T T"
Rh 1.6704 -7.9541 2.2801
Sc 0.5568 -2.6514 0.7600
Ca 1.1136 -5.3027 1.5201
Rh 0.0000 0.0000 0.0000
```

Summary:
- Final energy: -92.36 eV for the cell shown
- Space group: F-43m, No. 216
- DOS at the Fermi energy: 1.08 states/eV/atom
- ΔH_f (0 K): -0.228 eV/atom

2.
The following is a DFT calculation (meta-GGA SCAN) of a PBEsol-optimized structure of Ca2ScRhSe.

```
5
Lattice="-3.7677 2.5748 1.1947 -2.9836 -2.7934 -3.3888 -1.1423 -3.4623 3.8597" Properties=species:S:1:pos:R:3 pbc="T T T"
Ca -1.4918 -1.3967 -1.6944
Se -1.8838 1.2874 0.5974
Rh 0.0000 0.0000 0.0000
Ca -0.5711 -1.7312 1.9298
Sc -3.9468 -1.8404 0.8328
```

Summary:
- Final energy: -88.04 eV for the cell shown
- Space group: P4/mmm, No. 123
- DOS at the Fermi energy: 0.68 states/eV/atom
- Formation energy (no corrections): -0.124 eV per atom

3.
The following is a DFT calculation (meta-GGA SCAN) of a PBEsol-optimized structure of CaRhSe.

```
3
Lattice="-3.0845 -1.5852 -1.9332 2.4683 -0.8406 -3.2490 -0.4652 -2.8064 3.0435" Properties=species:S:1:pos:R:3 pbc="T T T"
Ca -1.5423 -0.7926 -0.9666
Se 1.4904 -1.4959 -1.1515
Rh 0.5126 -2.1512 0.9460
```

Summary:
- Final energy: -66.66 eV for the cell shown
- Space group: P-6m2, No. 187
- DOS at the Fermi energy: 0.56 states/eV/atom
- Formation energy (no corrections): -1.048 eV per atom

4.
The following is a DFT calculation (meta-GGA SCAN) of a PBEsol-optimized structure of CaRh2Se.

```
4
Lattice="2.9455 0.0096 0.0000 -0.0476 4.8356 0.0000 -1.4489 -2.4226 4.6102" Properties=species:S:1:pos:R:3 pbc="T T T"
Rh -0.7245 -1.2113 2.3051
Ca -0.0238 2.4178 0.0000
Rh 0.7245 1.2113 2.3051
Se 1.4728 0.0048 0.0000
```

Summary:
- Final energy: -98.09 eV for the cell shown
- Space group: C2/m, No. 12
- DOS at the Fermi energy: 0.66 states/eV/atom
- Formation energy (no corrections): -0.201 eV per atom

Which of these has the lowest final energy?
CaRh2Se

Which of these has the lowest DOS at the Fermi energy?
CaRhSe

Number 3 is which compound?
CaRhSe